Here is a relaxed AcTbPm2Pr6 crystal from the Alexandria database. Energies are from PBE.

Lattice parameters (Å, degrees): 9.440 15.723 9.946 90.00 96.58 90.00
Space group C2/c (No. 15)
Inequivalent atoms, fractional coordinates:
Ac1 0.000 0.023 0.250 (multiplicity 4)
Tb1 0.000 0.410 0.750 (multiplicity 4)
Pm1 0.246 0.445 0.455 (multiplicity 8)
Pr1 0.063 0.188 0.946 (multiplicity 8)
Pr2 0.102 0.395 0.118 (multiplicity 8)
Pr3 0.212 0.226 0.313 (multiplicity 8)

As for the formation energy: 0.113 eV per atom. For the total magnetization, the calculation gives 0.000 μB/f.u.